Arrangement P

VASP calculation (PBE) on CrTcNi after structural relaxation.

Lattice parameters (Å, degrees): 4.5258 4.5258 4.5258 148.22 129.28 61.11
Last column: nearest neighbours and their distance in Å.
Sites, in units of the cell vectors:
Cr 0.0000 0.0000 0.0000  2 Cr 2.48, 5 Tc 2.54-2.67, 5 Ni 2.62-2.65
Tc 0.3263 0.3263 0.0000  2 Tc 2.48, 5 Cr 2.54-2.67, 5 Ni 2.60-2.64
Ni 0.6601 0.6601 0.0000  2 Ni 2.48, 5 Tc 2.60-2.64, 5 Cr 2.62-2.65

Results
Magnetic moment in μB per formula unit: 0.0

Arrangement Q

VASP calculation (PBE) on CrTcNi after structural relaxation.

Lattice parameters (Å, degrees): 2.5279 4.8531 6.3319 78.09 82.97 80.09
Last column: nearest neighbours and their distance in Å.
Sites, in units of the cell vectors:
Cr 0.2278 0.2543 0.0145  4 Cr 2.44-2.64, 2 Tc 2.48-2.54, 3 Ni 2.49-2.58
Cr 0.7722 0.7457 0.9855  4 Cr 2.44-2.64, 2 Tc 2.48-2.54, 3 Ni 2.49-2.58
Tc 0.0786 0.1179 0.6720  2 Cr 2.48-2.54, 3 Tc 2.53-2.76, 5 Ni 2.55-2.67
Tc 0.9214 0.8821 0.3280  2 Cr 2.48-2.54, 3 Tc 2.53-2.76, 5 Ni 2.55-2.67
Ni 0.4255 0.5919 0.6707  3 Ni 2.47-2.53, 3 Cr 2.49-2.58, 5 Tc 2.55-2.67
Ni 0.5745 0.4081 0.3293  3 Ni 2.47-2.53, 3 Cr 2.49-2.58, 5 Tc 2.55-2.67

Results
Magnetic moment in μB per formula unit: 0.0

Arrangement R

VASP calculation (PBE) on CrTcNi after structural relaxation.

Lattice parameters (Å, degrees): 5.6350 5.6350 3.7633 90.00 90.00 141.70
Last column: nearest neighbours and their distance in Å.
Sites, in units of the cell vectors:
Cr 0.0000 0.0000 0.0000  4 Tc 2.53, 4 Ni 2.55, 4 Cr 2.64
Cr 0.5000 0.5000 0.5000  4 Tc 2.51, 4 Ni 2.58, 4 Cr 2.64
Tc 0.1592 0.8408 0.5000  4 Cr 2.51-2.53, 6 Ni 2.64-2.65, 2 Tc 2.67
Tc 0.8408 0.1592 0.5000  4 Cr 2.51-2.53, 6 Ni 2.64-2.65, 2 Tc 2.67
Ni 0.3346 0.6654 0.0000  4 Cr 2.55-2.58, 2 Ni 2.58, 6 Tc 2.64-2.65
Ni 0.6654 0.3346 0.0000  4 Cr 2.55-2.58, 2 Ni 2.58, 6 Tc 2.64-2.65

Results
Magnetic moment in μB per formula unit: 0.0

Arrangement S

VASP calculation (PBE) on CrTcNi after structural relaxation.

Lattice parameters (Å, degrees): 2.6062 2.6062 6.4287 90.00 90.00 120.00
Last column: nearest neighbours and their distance in Å.
Sites, in units of the cell vectors:
Cr 0.0000 0.0000 0.0000  3 Ni 2.52, 6 Cr 2.61, 3 Tc 2.67
Tc 0.3333 0.6667 0.6562  6 Tc 2.61, 3 Ni 2.66, 3 Cr 2.67
Ni 0.6667 0.3333 0.3141  3 Cr 2.52, 6 Ni 2.61, 3 Tc 2.66

Results
Magnetic moment in μB per formula unit: 0.0

Which one is the most stable? From the structures above, arrangement R.